Entry 1:
# Fe3Co2Ni2 | the Alexandria database | PBE | relaxed
# - theoretical density (g cm⁻³) = 7.85
# - volume (A^3/atom) = 12.18
# - energy of formation (eV/atom) = 0.300
data_Fe3Co2Ni2
_space_group_name_H-M_alt 'I 21 3'
_space_group_IT_number 199
_space_group_name_Hall 'I 2b 2c 3'
_cell_length_a 6.9866
_cell_length_b 6.9866
_cell_length_c 6.9866
_cell_angle_alpha 90.00
_cell_angle_beta 90.00
_cell_angle_gamma 90.00
loop_
_atom_site_label
_atom_site_type_symbol
_atom_site_fract_x
_atom_site_fract_y
_atom_site_fract_z
Fe1 Fe 0.0000 0.2500 0.8147
Co1 Co 0.0455 0.4545 0.5455
Ni1 Ni 0.1558 0.1558 0.1558

***

Entry 2:
# ZrS3N | the Alexandria database | PBE | relaxed
# - theoretical density (g cm⁻³) = 2.67
# - volume (A^3/atom) = 25.02
# - E above lowest polymorph (meV/atom) = 359
data_ZrS3N
_space_group_name_H-M_alt 'P m -3 m'
_space_group_IT_number 221
_space_group_name_Hall '-P 4 2 3'
_cell_length_a 5.0017
_cell_length_b 5.0017
_cell_length_c 5.0017
_cell_angle_alpha 90.00
_cell_angle_beta 90.00
_cell_angle_gamma 90.00
loop_
_atom_site_label
_atom_site_type_symbol
_atom_site_fract_x
_atom_site_fract_y
_atom_site_fract_z
Zr1 Zr 0.0000 0.0000 0.0000
S1 S 0.0000 0.0000 0.5000
N1 N 0.5000 0.5000 0.5000

***

Entry 3:
# BaNa2OsO4 | the Alexandria database | PBE | relaxed
# - theoretical density (g cm⁻³) = 5.60
# - volume (A^3/atom) = 16.21
data_BaNa2OsO4
_space_group_name_H-M_alt 'I -4'
_space_group_IT_number 82
_cell_length_a 5.9960
_cell_length_b 5.9960
_cell_length_c 7.2157
_cell_angle_alpha 90.00
_cell_angle_beta 90.00
_cell_angle_gamma 90.00
loop_
_space_group_symop_operation_xyz
'x,y,z'
'y,-x,-z'
'-x,-y,z'
'-y,x,-z'
'x+1/2,y+1/2,z+1/2'
'y+1/2,-x+1/2,-z+1/2'
'-x+1/2,-y+1/2,z+1/2'
'-y+1/2,x+1/2,-z+1/2'
loop_
_atom_site_label
_atom_site_type_symbol
_atom_site_fract_x
_atom_site_fract_y
_atom_site_fract_z
Ba1 Ba 0.0000 0.0000 0.0000
Na1 Na 0.0000 0.0000 0.5000
Na2 Na 0.0000 0.5000 0.7500
Os1 Os 0.0000 0.5000 0.2500
O1 O 0.2055 0.7422 0.2653

***

Entry 4:
# ZnCoW2 | the Alexandria database | PBE | relaxed
# - theoretical density (g cm⁻³) = 14.30
# - volume (A^3/atom) = 14.28
# - energy of formation (eV/atom) = 0.260
data_ZnCoW2
_space_group_name_H-M_alt 'P m m 2'
_space_group_IT_number 25
_cell_length_a 2.6933
_cell_length_b 3.8294
_cell_length_c 5.5379
_cell_angle_alpha 90.00
_cell_angle_beta 90.00
_cell_angle_gamma 90.00
loop_
_space_group_symop_operation_xyz
'x,y,z'
'-x,-y,z'
'-x,y,z'
'x,-y,z'
loop_
_atom_site_label
_atom_site_type_symbol
_atom_site_fract_x
_atom_site_fract_y
_atom_site_fract_z
Zn1 Zn 0.0000 0.0000 0.0000
Co1 Co 0.5000 0.5000 0.2144
W1 W 0.0000 0.0000 0.4721
W2 W 0.5000 0.5000 0.7449

***

Number 1: VASP energy -7.009 eV per atom. Number 2: VASP energy -5.218 eV per atom. Number 3: VASP energy -6.052 eV per atom. Number 4: VASP energy -8.311 eV per atom.